# PBE with a Hubbard U HfGaFe2O6, relaxed
# DOS(E_F), states/eV per cell: 0.000
# Theoretical density, Mg/m³: 6.799
# Final energy, Ha/atom: -0.2763
data_HfGaFe2O6
_cell_length_a 5.2528
_cell_length_b 5.2528
_cell_length_c 13.9788
_cell_angle_alpha 90.00
_cell_angle_beta 90.00
_cell_angle_gamma 120.00
_symmetry_space_group_name_H-M 'R 3'
_symmetry_Int_Tables_number 146
_symmetry_space_group_name_Hall 'R 3'
loop_
_atom_site_label
_atom_site_fract_x
_atom_site_fract_y
_atom_site_fract_z
Hf1 0.0000 0.0000 0.0000
Ga1 0.0000 0.0000 0.4972
Fe1 0.0000 0.0000 0.2097
Fe2 0.0000 0.0000 0.7062
O1 0.0085 0.3221 0.0989
O2 0.0178 0.7172 0.5995